1.
First-principles (PBE-GGA) data for crystalline Re2SiTc at its relaxed geometry, as listed in Alexandria via LeMat-Bulk.

Cell: 3.828 3.828 7.803 Å, 90.00 90.00 90.00°
Fractional coordinates of all 8 atoms:
Re 0.000 0.000 0.000
Re 0.000 0.500 0.250
Re 0.500 0.000 0.750
Re 0.500 0.500 0.500
Si 0.000 0.500 0.750
Si 0.500 0.000 0.250
Tc 0.000 0.000 0.500
Tc 0.500 0.500 0.000

Summary:
space-group type	No. 119
final energy	-80.72	eV/cell


2.
First-principles (PBE-GGA) data for crystalline Rb2LiZr3S8 at its relaxed geometry, as listed in Alexandria via LeMat-Bulk.

Cell: 9.368 9.368 9.368 Å, 46.96 46.96 46.96°
Fractional coordinates of all 14 atoms:
Rb 0.000 0.000 0.000
Rb 0.350 0.350 0.350
Li 0.504 0.504 0.504
Zr 0.504 0.998 0.998
Zr 0.998 0.504 0.998
Zr 0.998 0.998 0.504
S 0.213 0.731 0.731
S 0.224 0.224 0.224
S 0.270 0.270 0.788
S 0.270 0.788 0.270
S 0.731 0.213 0.731
S 0.731 0.731 0.213
S 0.773 0.773 0.773
S 0.788 0.270 0.270

Summary:
space-group type	No. 160
final energy	-81.87	eV/cell


3.
First-principles (PBE-GGA) data for crystalline BaAsOsSe2 at its relaxed geometry, as listed in Alexandria via LeMat-Bulk.

Cell: 5.303 5.303 4.642 Å, 90.00 90.00 90.00°
Fractional coordinates of all 5 atoms:
Ba 0.000 0.000 0.000
As 0.500 0.500 0.000
Os 0.500 0.500 0.500
Se 0.000 0.500 0.500
Se 0.500 0.000 0.500

Summary:
ΔE to the lowest computed polymorph	0.0	meV per atom
space-group type	No. 123


4.
First-principles (PBE-GGA) data for crystalline La2CuHgIr at its relaxed geometry, as listed in Alexandria via LeMat-Bulk.

Cell: 5.490 5.490 4.883 Å, 90.00 90.00 90.00°
Fractional coordinates of all 5 atoms:
La 0.000 0.500 0.000
La 0.500 0.000 0.000
Cu 0.000 0.000 0.500
Hg 0.500 0.500 0.500
Ir 0.000 0.000 0.000

Summary:
ΔE to the lowest computed polymorph	176.5	meV per atom
energy relative to the elements	-300	meV per atom
space-group type	No. 123


5.
First-principles (PBE-GGA) data for crystalline InCu2HRu at its relaxed geometry, as listed in Alexandria via LeMat-Bulk.

Cell: 3.956 3.956 3.876 Å, 90.00 90.00 90.00°
Fractional coordinates of all 5 atoms:
In 0.000 0.000 0.000
Cu 0.000 0.500 0.500
Cu 0.500 0.000 0.500
H 0.500 0.500 0.500
Ru 0.500 0.500 0.000

Summary:
ΔE to the lowest computed polymorph	0.0	meV per atom
space-group type	No. 123


6.
First-principles (PBE-GGA) data for crystalline Li2AgIr at its relaxed geometry, as listed in Alexandria via LeMat-Bulk.

Cell: 6.714 6.714 5.378 Å, 90.00 90.00 90.00°
Fractional coordinates of all 16 atoms:
Li 0.248 0.750 0.125
Li 0.250 0.248 0.875
Li 0.250 0.252 0.375
Li 0.252 0.750 0.625
Li 0.748 0.250 0.625
Li 0.750 0.748 0.375
Li 0.750 0.752 0.875
Li 0.752 0.250 0.125
Ag 0.000 0.000 0.500
Ag 0.000 0.500 0.750
Ag 0.500 0.000 0.250
Ag 0.500 0.500 0.000
Ir 0.000 0.000 0.000
Ir 0.000 0.500 0.250
Ir 0.500 0.000 0.750
Ir 0.500 0.500 0.500

Summary:
energy relative to the elements	323	meV per atom
space-group type	No. 122


7.
First-principles (PBE-GGA) data for crystalline CrCo2Se at its relaxed geometry, as listed in Alexandria via LeMat-Bulk.

Cell: 5.164 5.164 10.225 Å, 90.00 90.00 90.00°
Fractional coordinates of all 16 atoms:
Cr 0.000 0.000 0.000
Cr 0.000 0.500 0.250
Cr 0.500 0.000 0.750
Cr 0.500 0.500 0.500
Co 0.238 0.250 0.125
Co 0.250 0.738 0.375
Co 0.250 0.762 0.875
Co 0.262 0.250 0.625
Co 0.738 0.750 0.625
Co 0.750 0.238 0.875
Co 0.750 0.262 0.375
Co 0.762 0.750 0.125
Se 0.000 0.000 0.500
Se 0.000 0.500 0.750
Se 0.500 0.000 0.250
Se 0.500 0.500 0.000

Summary:
space-group type	No. 122
final energy	-98.64	eV/cell


8.
First-principles (PBE-GGA) data for crystalline Zr2MnCu at its relaxed geometry, as listed in Alexandria via LeMat-Bulk.

Cell: 4.065 4.065 18.822 Å, 90.00 90.00 90.00°
Fractional coordinates of all 16 atoms:
Zr 0.249 0.250 0.125
Zr 0.250 0.749 0.375
Zr 0.250 0.751 0.875
Zr 0.251 0.250 0.625
Zr 0.749 0.750 0.625
Zr 0.750 0.249 0.875
Zr 0.750 0.251 0.375
Zr 0.751 0.750 0.125
Mn 0.000 0.000 0.000
Mn 0.000 0.500 0.250
Mn 0.500 0.000 0.750
Mn 0.500 0.500 0.500
Cu 0.000 0.000 0.500
Cu 0.000 0.500 0.750
Cu 0.500 0.000 0.250
Cu 0.500 0.500 0.000

Summary:
ΔE to the lowest computed polymorph	695.4	meV per atom
energy relative to the elements	592	meV per atom
space-group type	No. 122


9.
First-principles (PBE-GGA) data for crystalline LiHf2ReP at its relaxed geometry, as listed in Alexandria via LeMat-Bulk.

Cell: 5.123 5.123 4.514 Å, 90.00 90.00 90.00°
Fractional coordinates of all 5 atoms:
Li 0.000 0.000 0.000
Hf 0.000 0.500 0.500
Hf 0.500 0.000 0.500
Re 0.500 0.500 0.500
P 0.500 0.500 0.000

Summary:
energy relative to the elements	488	meV per atom
space-group type	No. 123


10.
First-principles (PBE-GGA) data for crystalline Ti2Ni5Pt at its relaxed geometry, as listed in Alexandria via LeMat-Bulk.

Cell: 5.208 10.406 3.665 Å, 90.00 90.00 90.00°
Fractional coordinates of all 16 atoms:
Ti 0.240 0.130 0.000
Ti 0.260 0.630 0.000
Ti 0.740 0.370 0.000
Ti 0.760 0.870 0.000
Ni 0.000 0.000 0.500
Ni 0.002 0.248 0.500
Ni 0.243 0.871 0.000
Ni 0.257 0.371 0.000
Ni 0.498 0.748 0.500
Ni 0.500 0.500 0.500
Ni 0.502 0.252 0.500
Ni 0.743 0.629 0.000
Ni 0.757 0.129 0.000
Ni 0.998 0.752 0.500
Pt 0.000 0.500 0.500
Pt 0.500 0.000 0.500

Summary:
energy relative to the elements	-557	meV per atom
space-group type	No. 55


11.
First-principles (PBE-GGA) data for crystalline Sm3ThS4 at its relaxed geometry, as listed in Alexandria via LeMat-Bulk.

Cell: 8.061 11.367 4.000 Å, 90.00 90.00 90.00°
Fractional coordinates of all 16 atoms:
Sm 0.000 0.000 0.000
Sm 0.250 0.250 0.500
Sm 0.250 0.750 0.500
Sm 0.500 0.500 0.000
Sm 0.750 0.250 0.500
Sm 0.750 0.750 0.500
Th 0.000 0.500 0.000
Th 0.500 0.000 0.000
S 0.000 0.249 0.000
S 0.000 0.751 0.000
S 0.247 0.000 0.500
S 0.253 0.500 0.500
S 0.500 0.251 0.000
S 0.500 0.749 0.000
S 0.747 0.500 0.500
S 0.753 0.000 0.500

Summary:
space-group type	No. 65
final energy	-107.71	eV/cell


12.
First-principles (PBE-GGA) data for crystalline TcAg2Hg at its relaxed geometry, as listed in Alexandria via LeMat-Bulk.

Cell: 2.877 4.951 5.026 Å, 90.00 90.00 90.00°
Fractional coordinates of all 4 atoms:
Tc 0.000 0.000 0.000
Ag 0.000 0.500 0.500
Ag 0.500 0.000 0.500
Hg 0.500 0.500 0.000

Summary:
energy relative to the elements	525	meV per atom
space-group type	No. 47


13.
First-principles (PBE-GGA) data for crystalline InCu2Te2 at its relaxed geometry, as listed in Alexandria via LeMat-Bulk.

Cell: 7.622 7.622 3.701 Å, 90.00 90.00 90.00°
Fractional coordinates of all 10 atoms:
In 0.000 0.000 0.000
In 0.500 0.500 0.000
Cu 0.117 0.383 0.000
Cu 0.383 0.883 0.000
Cu 0.617 0.117 0.000
Cu 0.883 0.617 0.000
Te 0.176 0.676 0.500
Te 0.324 0.176 0.500
Te 0.676 0.824 0.500
Te 0.824 0.324 0.500

Summary:
space-group type	No. 127
final energy	-33.02	eV/cell


14.
First-principles (PBE-GGA) data for crystalline Cr2ReSe at its relaxed geometry, as listed in Alexandria via LeMat-Bulk.

Cell: 5.521 6.918 2.965 Å, 90.00 90.00 90.00°
Fractional coordinates of all 8 atoms:
Cr 0.250 0.250 0.000
Cr 0.250 0.750 0.000
Cr 0.750 0.250 0.000
Cr 0.750 0.750 0.000
Re 0.000 0.000 0.500
Re 0.500 0.500 0.500
Se 0.000 0.500 0.500
Se 0.500 0.000 0.500

Summary:
ΔE to the lowest computed polymorph	192.1	meV per atom
space-group type	No. 65


15.
First-principles (PBE-GGA) data for crystalline BeHg3Br at its relaxed geometry, as listed in Alexandria via LeMat-Bulk.

Cell: 5.009 5.009 5.009 Å, 90.00 90.00 90.00°
Fractional coordinates of all 5 atoms:
Be 0.000 0.000 0.000
Hg 0.000 0.000 0.500
Hg 0.000 0.500 0.000
Hg 0.500 0.000 0.000
Br 0.500 0.500 0.500

Summary:
ΔE to the lowest computed polymorph	0.0	meV per atom
space-group type	No. 221


16.
First-principles (PBE-GGA) data for crystalline LiSmUN3 at its relaxed geometry, as listed in Alexandria via LeMat-Bulk.

Cell: 6.926 3.458 7.124 Å, 90.00 102.51 90.00°
Fractional coordinates of all 12 atoms:
Li 0.082 0.250 0.073
Li 0.918 0.750 0.927
Sm 0.285 0.750 0.821
Sm 0.715 0.250 0.179
U 0.321 0.750 0.328
U 0.679 0.250 0.672
N 0.023 0.750 0.207
N 0.362 0.250 0.118
N 0.368 0.250 0.578
N 0.632 0.750 0.422
N 0.638 0.750 0.882
N 0.977 0.250 0.793

Summary:
space-group type	No. 11
final energy	-99.76	eV/cell


17.
First-principles (PBE-GGA) data for crystalline KAgAu4 at its relaxed geometry, as listed in Alexandria via LeMat-Bulk.

Cell: 5.644 5.644 5.644 Å, 60.00 60.00 60.00°
Fractional coordinates of all 6 atoms:
K 0.000 0.000 0.000
Ag 0.750 0.750 0.750
Au 0.375 0.375 0.375
Au 0.375 0.375 0.874
Au 0.375 0.874 0.375
Au 0.874 0.375 0.375

Summary:
energy relative to the elements	-133	meV per atom
space-group type	No. 216


18.
First-principles (PBE-GGA) data for crystalline Ba3PmSn8 at its relaxed geometry, as listed in Alexandria via LeMat-Bulk.

Cell: 8.574 8.574 8.574 Å, 111.45 111.45 105.58°
Fractional coordinates of all 12 atoms:
Ba 0.000 0.000 0.000
Ba 0.250 0.750 0.500
Ba 0.750 0.250 0.500
Pm 0.500 0.500 0.000
Sn 0.129 0.438 0.000
Sn 0.203 0.203 0.550
Sn 0.347 0.797 0.000
Sn 0.438 0.129 0.000
Sn 0.562 0.562 0.691
Sn 0.653 0.653 0.450
Sn 0.797 0.347 0.000
Sn 0.871 0.871 0.309

Summary:
energy relative to the elements	-221	meV per atom
space-group type	No. 121


19.
First-principles (PBE-GGA) data for crystalline Ho3Zn3Ga8 at its relaxed geometry, as listed in Alexandria via LeMat-Bulk.

Cell: 8.226 8.226 8.226 Å, 150.37 105.60 82.06°
Fractional coordinates of all 14 atoms:
Ho 0.000 0.000 0.000
Ho 0.313 0.313 0.000
Ho 0.687 0.687 0.000
Zn 0.299 0.500 0.799
Zn 0.500 0.000 0.500
Zn 0.701 0.500 0.201
Ga 0.030 0.657 0.373
Ga 0.141 0.861 0.281
Ga 0.285 0.657 0.627
Ga 0.420 0.139 0.281
Ga 0.580 0.861 0.719
Ga 0.715 0.343 0.373
Ga 0.859 0.139 0.719
Ga 0.970 0.343 0.627

Summary:
energy relative to the elements	-426	meV per atom
space-group type	No. 71


20.
First-principles (PBE-GGA) data for crystalline Cr2RuBr at its relaxed geometry, as listed in Alexandria via LeMat-Bulk.

Cell: 2.919 4.297 8.708 Å, 90.00 90.00 90.00°
Fractional coordinates of all 8 atoms:
Cr 0.000 0.000 0.234
Cr 0.000 0.000 0.766
Cr 0.500 0.500 0.266
Cr 0.500 0.500 0.734
Ru 0.000 0.500 0.000
Ru 0.500 0.000 0.500
Br 0.000 0.500 0.500
Br 0.500 0.000 0.000

Summary:
ΔE to the lowest computed polymorph	346.5	meV per atom
space-group type	No. 71


21.
First-principles (PBE-GGA) data for crystalline Cs2CoPtBr6 at its relaxed geometry, as listed in Alexandria via LeMat-Bulk.

Cell: 7.918 7.918 7.918 Å, 122.53 122.53 85.67°
Fractional coordinates of all 10 atoms:
Cs 0.250 0.750 0.500
Cs 0.750 0.250 0.500
Co 0.000 0.000 0.000
Pt 0.500 0.500 0.000
Br 0.201 0.201 0.000
Br 0.269 0.269 0.538
Br 0.269 0.731 0.000
Br 0.731 0.269 0.000
Br 0.731 0.731 0.462
Br 0.799 0.799 0.000

Summary:
space-group type	No. 139
final energy	-32.78	eV/cell


22.
First-principles (PBE-GGA) data for crystalline MgSn5 at its relaxed geometry, as listed in Alexandria via LeMat-Bulk.

Cell: 5.518 16.265 3.539 Å, 90.00 90.00 90.00°
Fractional coordinates of all 12 atoms:
Mg 0.000 0.000 0.000
Mg 0.500 0.500 0.000
Sn 0.000 0.159 0.500
Sn 0.000 0.329 0.000
Sn 0.000 0.500 0.500
Sn 0.000 0.671 0.000
Sn 0.000 0.841 0.500
Sn 0.500 0.000 0.500
Sn 0.500 0.171 0.000
Sn 0.500 0.341 0.500
Sn 0.500 0.659 0.500
Sn 0.500 0.829 0.000

Summary:
energy relative to the elements	20	meV per atom
space-group type	No. 65


23.
First-principles (PBE-GGA) data for crystalline YTlV2 at its relaxed geometry, as listed in Alexandria via LeMat-Bulk.

Cell: 7.851 7.851 6.013 Å, 90.00 90.00 90.00°
Fractional coordinates of all 16 atoms:
Y 0.000 0.000 0.000
Y 0.000 0.500 0.250
Y 0.500 0.000 0.750
Y 0.500 0.500 0.500
Tl 0.000 0.000 0.500
Tl 0.000 0.500 0.750
Tl 0.500 0.000 0.250
Tl 0.500 0.500 0.000
V 0.227 0.250 0.625
V 0.250 0.727 0.875
V 0.250 0.773 0.375
V 0.273 0.250 0.125
V 0.727 0.750 0.125
V 0.750 0.227 0.375
V 0.750 0.273 0.875
V 0.773 0.750 0.625

Summary:
ΔE to the lowest computed polymorph	378.5	meV per atom
energy relative to the elements	868	meV per atom
space-group type	No. 122


24.
First-principles (PBE-GGA) data for crystalline YN3O at its relaxed geometry, as listed in Alexandria via LeMat-Bulk.

Cell: 3.657 3.657 3.657 Å, 90.00 90.00 90.00°
Fractional coordinates of all 5 atoms:
Y 0.000 0.000 0.000
N 0.000 0.500 0.500
N 0.500 0.000 0.500
N 0.500 0.500 0.000
O 0.500 0.500 0.500

Summary:
space-group type	No. 221
final energy	-30.43	eV/cell


25.
First-principles (PBE-GGA) data for crystalline IrOsCl2 at its relaxed geometry, as listed in Alexandria via LeMat-Bulk.

Cell: 6.338 6.338 6.338 Å, 90.00 90.00 90.00°
Fractional coordinates of all 16 atoms:
Ir 0.000 0.000 0.000
Ir 0.000 0.500 0.500
Ir 0.500 0.000 0.500
Ir 0.500 0.500 0.000
Os 0.250 0.250 0.750
Os 0.250 0.750 0.250
Os 0.750 0.250 0.250
Os 0.750 0.750 0.750
Cl 0.000 0.000 0.500
Cl 0.000 0.500 0.000
Cl 0.250 0.250 0.250
Cl 0.250 0.750 0.750
Cl 0.500 0.000 0.000
Cl 0.500 0.500 0.500
Cl 0.750 0.250 0.750
Cl 0.750 0.750 0.250

Summary:
ΔE to the lowest computed polymorph	1088.8	meV per atom
space-group type	No. 216


Number 1: theoretical density 14.48 g cm⁻³. Number 2: theoretical density 2.93 g cm⁻³. Number 3: theoretical density 7.13 g cm⁻³. Number 4: theoretical density 8.28 g cm⁻³. Number 5: theoretical density 9.42 g cm⁻³. Number 6: theoretical density 8.60 g cm⁻³. Number 7: theoretical density 6.06 g cm⁻³. Number 8: theoretical density 6.43 g cm⁻³. Number 9: theoretical density 8.14 g cm⁻³. Number 10: theoretical density 9.77 g cm⁻³. Number 11: theoretical density 7.35 g cm⁻³. Number 12: theoretical density 11.93 g cm⁻³. Number 13: theoretical density 7.68 g cm⁻³. Number 14: theoretical density 10.82 g cm⁻³. Number 15: theoretical density 9.12 g cm⁻³. Number 16: theoretical density 8.72 g cm⁻³. Number 17: theoretical density 12.21 g cm⁻³. Number 18: theoretical density 5.17 g cm⁻³. Number 19: theoretical density 7.99 g cm⁻³. Number 20: theoretical density 8.67 g cm⁻³. Number 21: theoretical density 4.93 g cm⁻³. Number 22: theoretical density 6.46 g cm⁻³. Number 23: theoretical density 7.08 g cm⁻³. Number 24: theoretical density 4.99 g cm⁻³. Number 25: theoretical density 11.83 g cm⁻³.